# 1
# LuScTcPt

Crystalline LuScTcPt at its relaxed geometry (PBE, Alexandria).

a b c (Å): 6.6257 6.6257 6.6257
angles (deg): 90.00 90.00 90.00
Space group F-43m (No. 216)
One atom of each set of equivalent atoms:
Lu1 0.0000 0.0000 0.0000 [4 per cell]
Sc1 0.0000 0.0000 0.5000 [4 per cell]
Tc1 0.2500 0.2500 0.2500 [4 per cell]
Pt1 0.2500 0.2500 0.7500 [4 per cell]

total magnetic moment = 0.00 μB/atom
uncorrected energy = -120.3 eV/cell
ΔE_f = -705.4 meV per atom

***

# 2
# TmLuScPt

Crystalline TmLuScPt at its relaxed geometry (PBE, Alexandria).

a b c (Å): 7.0913 7.0913 7.0913
angles (deg): 90.00 90.00 90.00
Space group F-43m (No. 216)
One atom of each set of equivalent atoms:
Tm1 0.0000 0.0000 0.0000 [4 per cell]
Lu1 0.0000 0.0000 0.5000 [4 per cell]
Sc1 0.2500 0.2500 0.2500 [4 per cell]
Pt1 0.2500 0.2500 0.7500 [4 per cell]

total magnetic moment = 0.32 μB/atom
uncorrected energy = -92.4 eV/cell
ΔE_f = -431.0 meV per atom

***

# 3
# LuScZnPt

Crystalline LuScZnPt at its relaxed geometry (PBE, Alexandria).

a b c (Å): 6.7748 6.7748 6.7748
angles (deg): 90.00 90.00 90.00
Space group F-43m (No. 216)
One atom of each set of equivalent atoms:
Lu1 0.0000 0.0000 0.0000 [4 per cell]
Sc1 0.0000 0.0000 0.5000 [4 per cell]
Zn1 0.2500 0.2500 0.2500 [4 per cell]
Pt1 0.2500 0.2500 0.7500 [4 per cell]

total magnetic moment = 0.00 μB/atom
uncorrected energy = -86.0 eV/cell
ΔE_f = -831.2 meV per atom

***

# 4
# LuPtSe2

Crystalline LuPtSe2 at its relaxed geometry (PBE, Alexandria).

a b c (Å): 3.7754 3.7754 24.6825
angles (deg): 90.00 90.00 120.00
Space group R-3m (No. 166, hexagonal axes)
One atom of each set of equivalent atoms:
Lu1 0.0000 0.0000 0.0000 [3 per cell]
Pt1 0.0000 0.0000 0.5000 [3 per cell]
Se1 0.0000 0.0000 0.1124 [6 per cell]

total magnetic moment = 0.00 μB/atom
uncorrected energy = -56.7 eV/cell
formation energy (no corrections) = -0.344 eV/atom

***

# 5
# Lu2PtSe

Crystalline Lu2PtSe at its relaxed geometry (PBE, Alexandria).

a b c (Å): 3.5661 3.5661 26.8117
angles (deg): 90.00 90.00 120.00
Space group R-3m (No. 166, hexagonal axes)
One atom of each set of equivalent atoms:
Lu1 0.0000 0.0000 0.0963 [6 per cell]
Pt1 0.0000 0.0000 0.0000 [3 per cell]
Se1 0.0000 0.0000 0.5000 [3 per cell]

total magnetic moment = 0.00 μB/atom
uncorrected energy = -62.2 eV/cell
formation energy (no corrections) = -0.544 eV/atom

***

# 6
# LuSiPt

Crystalline LuSiPt at its relaxed geometry (PBE, Alexandria).

a b c (Å): 4.2830 4.2830 3.4611
angles (deg): 90.00 90.00 120.00
Space group P-6m2 (No. 187)
One atom of each set of equivalent atoms:
Lu1 0.0000 0.0000 0.0000 [1 per cell]
Si1 0.6667 0.3333 0.5000 [1 per cell]
Pt1 0.3333 0.6667 0.5000 [1 per cell]

total magnetic moment = 0.00 μB/atom
uncorrected energy = -19.4 eV/cell
formation energy (no corrections) = -1.153 eV/atom

***

# 7
# Lu2SiPt

Crystalline Lu2SiPt at its relaxed geometry (PBE, Alexandria).

a b c (Å): 3.3926 3.3926 7.0533
angles (deg): 90.00 90.00 90.00
Space group P4/mmm (No. 123)
One atom of each set of equivalent atoms:
Lu1 0.0000 0.0000 0.2450 [2 per cell]
Si1 0.5000 0.5000 0.5000 [1 per cell]
Pt1 0.5000 0.5000 0.0000 [1 per cell]

total magnetic moment = 0.00 μB/atom
uncorrected energy = -24.1 eV/cell
formation energy (no corrections) = -0.901 eV/atom

***

# 8
# LuSiPt

Crystalline LuSiPt at its relaxed geometry (PBE, Alexandria).

a b c (Å): 6.8600 4.2414 7.4076
angles (deg): 90.00 90.00 90.00
Space group Pnma (No. 62)
One atom of each set of equivalent atoms:
Lu1 0.0035 0.2500 0.2007 [4 per cell]
Si1 0.1877 0.2500 0.5888 [4 per cell]
Pt1 0.2018 0.7500 0.4145 [4 per cell]

total magnetic moment = 0.00 μB/atom
uncorrected energy = -78.5 eV/cell
formation energy (no corrections) = -1.217 eV/atom

***

# 9
# TmLuSiPt

Crystalline TmLuSiPt at its relaxed geometry (PBE, Alexandria).

a b c (Å): 6.9169 6.9169 6.9169
angles (deg): 90.00 90.00 90.00
Space group F-43m (No. 216)
One atom of each set of equivalent atoms:
Tm1 0.0000 0.0000 0.0000 [4 per cell]
Lu1 0.0000 0.0000 0.5000 [4 per cell]
Si1 0.2500 0.2500 0.7500 [4 per cell]
Pt1 0.2500 0.2500 0.2500 [4 per cell]

total magnetic moment = 0.00 μB/atom
uncorrected energy = -96.1 eV/cell
formation energy (no corrections) = -0.892 eV/atom

***

# 10
# SmLuPt2

Crystalline SmLuPt2 at its relaxed geometry (PBE, Alexandria).

a b c (Å): 7.0028 7.0028 7.0028
angles (deg): 90.00 90.00 90.00
Space group Fm-3m (No. 225)
One atom of each set of equivalent atoms:
Sm1 0.0000 0.0000 0.0000 [4 per cell]
Lu1 0.0000 0.0000 0.5000 [4 per cell]
Pt1 0.2500 0.2500 0.2500 [8 per cell]

total magnetic moment = 0.00 μB/atom
uncorrected energy = -104.3 eV/cell
relative energy among the computed polymorphs = 0.009 eV per atom
ΔE_f = -1188.0 meV per atom

***

# 11
# SmLu3Pt

Crystalline SmLu3Pt at its relaxed geometry (PBE, Alexandria).

a b c (Å): 5.3744 5.3744 5.3744
angles (deg): 90.00 90.00 90.00
Space group Pm-3m (No. 221)
One atom of each set of equivalent atoms:
Sm1 0.0000 0.0000 0.0000 [1 per cell]
Lu1 0.0000 0.5000 0.5000 [3 per cell]
Pt1 0.5000 0.5000 0.5000 [1 per cell]

total magnetic moment = 0.00 μB/atom
uncorrected energy = -26.4 eV/cell
ΔE_f = -413.5 meV per atom

***

# 12
# SmLuPt2

Crystalline SmLuPt2 at its relaxed geometry (PBE, Alexandria).

a b c (Å): 3.4788 3.4788 7.0584
angles (deg): 90.00 90.00 90.00
Space group P4/mmm (No. 123)
One atom of each set of equivalent atoms:
Sm1 0.0000 0.0000 0.0000 [1 per cell]
Lu1 0.0000 0.0000 0.5000 [1 per cell]
Pt1 0.5000 0.5000 0.2690 [2 per cell]

total magnetic moment = 0.00 μB/atom
uncorrected energy = -26.1 eV/cell
relative energy among the computed polymorphs = 0.000 eV per atom
ΔE_f = -1196.9 meV per atom

***

# 13
# SmLuPt

Crystalline SmLuPt at its relaxed geometry (PBE, Alexandria).

a b c (Å): 4.6252 4.6252 4.1971
angles (deg): 90.00 90.00 120.00
Space group P3m1 (No. 156)
One atom of each set of equivalent atoms:
Sm1 0.0000 0.0000 0.0000 [1 per cell]
Lu1 0.3333 0.6667 0.4890 [1 per cell]
Pt1 0.6667 0.3333 0.6637 [1 per cell]

total magnetic moment = 0.00 μB/atom
uncorrected energy = -17.4 eV/cell
relative energy among the computed polymorphs = 0.164 eV per atom
ΔE_f = -690.2 meV per atom

***

# 14
# SmLuPt2

Crystalline SmLuPt2 at its relaxed geometry (PBE, Alexandria).

a b c (Å): 4.0828 4.0828 19.8083
angles (deg): 90.00 90.00 120.00
Space group R-3m (No. 166, hexagonal axes)
One atom of each set of equivalent atoms:
Sm1 0.0000 0.0000 0.0000 [3 per cell]
Lu1 0.0000 0.0000 0.5000 [3 per cell]
Pt1 0.0000 0.0000 0.2444 [6 per cell]

total magnetic moment = 0.00 μB/atom
uncorrected energy = -77.4 eV/cell
relative energy among the computed polymorphs = 0.073 eV per atom
ΔE_f = -1123.6 meV per atom

***

# 15
# SmLuPt

Crystalline SmLuPt at its relaxed geometry (PBE, Alexandria).

a b c (Å): 6.8832 6.8832 6.8832
angles (deg): 90.00 90.00 90.00
Space group F-43m (No. 216)
One atom of each set of equivalent atoms:
Sm1 0.0000 0.0000 0.0000 [4 per cell]
Lu1 0.0000 0.0000 0.5000 [4 per cell]
Pt1 0.2500 0.2500 0.7500 [4 per cell]

total magnetic moment = 0.00 μB/atom
uncorrected energy = -71.4 eV/cell
relative energy among the computed polymorphs = 0.000 eV per atom
ΔE_f = -854.1 meV per atom

***

# 16
# SmLuPt4

Crystalline SmLuPt4 at its relaxed geometry (PBE, Alexandria).

a b c (Å): 7.6937 7.6937 7.6937
angles (deg): 90.00 90.00 90.00
Space group F-43m (No. 216)
One atom of each set of equivalent atoms:
Sm1 0.0000 0.0000 0.0000 [4 per cell]
Lu1 0.2500 0.2500 0.7500 [4 per cell]
Pt1 0.1246 0.1246 0.3754 [16 per cell]

total magnetic moment = 0.00 μB/atom
uncorrected energy = -160.1 eV/cell
ΔE_f = -1103.4 meV per atom

***

# 17
# SmLuTlPt

Crystalline SmLuTlPt at its relaxed geometry (PBE, Alexandria).

a b c (Å): 7.2912 7.2912 7.2912
angles (deg): 90.00 90.00 90.00
Space group F-43m (No. 216)
One atom of each set of equivalent atoms:
Sm1 0.0000 0.0000 0.0000 [4 per cell]
Lu1 0.0000 0.0000 0.5000 [4 per cell]
Tl1 0.2500 0.2500 0.7500 [4 per cell]
Pt1 0.2500 0.2500 0.2500 [4 per cell]

total magnetic moment = 0.00 μB/atom
uncorrected energy = -81.3 eV/cell
ΔE_f = -667.3 meV per atom

***

# 18
# LuSnPt4

Crystalline LuSnPt4 at its relaxed geometry (PBE, Alexandria).

a b c (Å): 7.6208 7.6208 7.6208
angles (deg): 90.00 90.00 90.00
Space group F-43m (No. 216)
One atom of each set of equivalent atoms:
Lu1 0.0000 0.0000 0.0000 [4 per cell]
Sn1 0.2500 0.2500 0.2500 [4 per cell]
Pt1 0.1251 0.1251 0.6251 [16 per cell]

total magnetic moment = 0.00 μB/atom
uncorrected energy = -148.6 eV/cell
ΔE_f = -742.0 meV per atom

***

# 19
# Lu2SnPt

Crystalline Lu2SnPt at its relaxed geometry (PBE, Alexandria).

a b c (Å): 3.4871 3.4871 7.5200
angles (deg): 90.00 90.00 90.00
Space group P4/mmm (No. 123)
One atom of each set of equivalent atoms:
Lu1 0.0000 0.0000 0.2175 [2 per cell]
Sn1 0.5000 0.5000 0.5000 [1 per cell]
Pt1 0.5000 0.5000 0.0000 [1 per cell]

total magnetic moment = 0.00 μB/atom
uncorrected energy = -22.9 eV/cell
ΔE_f = -946.5 meV per atom

***

# 20
# Lu2SnPt

Crystalline Lu2SnPt at its relaxed geometry (PBE, Alexandria).

a b c (Å): 3.8111 3.8111 24.3713
angles (deg): 90.00 90.00 120.00
Space group R-3m (No. 166, hexagonal axes)
One atom of each set of equivalent atoms:
Lu1 0.0000 0.0000 0.2352 [6 per cell]
Sn1 0.0000 0.0000 0.0000 [3 per cell]
Pt1 0.0000 0.0000 0.5000 [3 per cell]

total magnetic moment = 0.00 μB/atom
uncorrected energy = -67.1 eV/cell
ΔE_f = -818.4 meV per atom

***

# 21
# TmLuSnPt

Crystalline TmLuSnPt at its relaxed geometry (PBE, Alexandria).

a b c (Å): 7.1605 7.1605 7.1605
angles (deg): 90.00 90.00 90.00
Space group F-43m (No. 216)
One atom of each set of equivalent atoms:
Tm1 0.0000 0.0000 0.0000 [4 per cell]
Lu1 0.0000 0.0000 0.5000 [4 per cell]
Sn1 0.2500 0.2500 0.7500 [4 per cell]
Pt1 0.2500 0.2500 0.2500 [4 per cell]

total magnetic moment = 0.00 μB/atom
uncorrected energy = -90.0 eV/cell
ΔE_f = -868.6 meV per atom

***

# 22
# YLuSnPt

Crystalline YLuSnPt at its relaxed geometry (PBE, Alexandria).

a b c (Å): 7.2137 7.2137 7.2137
angles (deg): 90.00 90.00 90.00
Space group F-43m (No. 216)
One atom of each set of equivalent atoms:
Y1 0.0000 0.0000 0.0000 [4 per cell]
Lu1 0.0000 0.0000 0.5000 [4 per cell]
Sn1 0.2500 0.2500 0.7500 [4 per cell]
Pt1 0.2500 0.2500 0.2500 [4 per cell]

total magnetic moment = 0.00 μB/atom
uncorrected energy = -97.9 eV/cell
ΔE_f = -864.6 meV per atom

***

# 23
# SrLu3Pt

Crystalline SrLu3Pt at its relaxed geometry (PBE, Alexandria).

a b c (Å): 5.4597 5.4597 5.4597
angles (deg): 90.00 90.00 90.00
Space group Pm-3m (No. 221)
One atom of each set of equivalent atoms:
Sr1 0.0000 0.0000 0.0000 [1 per cell]
Lu1 0.0000 0.5000 0.5000 [3 per cell]
Pt1 0.5000 0.5000 0.5000 [1 per cell]

total magnetic moment = 0.00 μB/atom
uncorrected energy = -23.4 eV/cell
ΔE_f = -432.8 meV per atom

***

# 24
# SrLuPt2

Crystalline SrLuPt2 at its relaxed geometry (PBE, Alexandria).

a b c (Å): 4.6761 4.6761 15.7192
angles (deg): 90.00 90.00 120.00
Space group R-3m (No. 166, hexagonal axes)
One atom of each set of equivalent atoms:
Sr1 0.0000 0.0000 0.0000 [3 per cell]
Lu1 0.0000 0.0000 0.5000 [3 per cell]
Pt1 0.0000 0.0000 0.2144 [6 per cell]

total magnetic moment = 0.00 μB/atom
uncorrected energy = -66.6 eV/cell
relative energy among the computed polymorphs = 0.096 eV per atom
ΔE_f = -978.3 meV per atom

***

# 25
# SrLuPt2

Crystalline SrLuPt2 at its relaxed geometry (PBE, Alexandria).

a b c (Å): 3.4919 3.4919 7.3493
angles (deg): 90.00 90.00 90.00
Space group P4/mmm (No. 123)
One atom of each set of equivalent atoms:
Sr1 0.0000 0.0000 0.0000 [1 per cell]
Lu1 0.0000 0.0000 0.5000 [1 per cell]
Pt1 0.5000 0.5000 0.2913 [2 per cell]

total magnetic moment = 0.00 μB/atom
uncorrected energy = -22.6 eV/cell
relative energy among the computed polymorphs = 0.000 eV per atom
ΔE_f = -1074.8 meV per atom

***

# 26
# SrLu2Pt

Crystalline SrLu2Pt at its relaxed geometry (PBE, Alexandria).

a b c (Å): 4.1081 4.1081 28.2178
angles (deg): 90.00 90.00 120.00
Space group R-3m (No. 166, hexagonal axes)
One atom of each set of equivalent atoms:
Sr1 0.0000 0.0000 0.0000 [3 per cell]
Lu1 0.0000 0.0000 0.2163 [6 per cell]
Pt1 0.0000 0.0000 0.5000 [3 per cell]

total magnetic moment = 0.00 μB/atom
uncorrected energy = -57.3 eV/cell
ΔE_f = -581.5 meV per atom

***

# 27
# SrLuPt2

Crystalline SrLuPt2 at its relaxed geometry (PBE, Alexandria).

a b c (Å): 7.0640 7.0640 7.0640
angles (deg): 90.00 90.00 90.00
Space group Fm-3m (No. 225)
One atom of each set of equivalent atoms:
Sr1 0.0000 0.0000 0.0000 [4 per cell]
Lu1 0.0000 0.0000 0.5000 [4 per cell]
Pt1 0.2500 0.2500 0.2500 [8 per cell]

total magnetic moment = 0.00 μB/atom
uncorrected energy = -87.8 eV/cell
relative energy among the computed polymorphs = 0.157 eV per atom
ΔE_f = -918.1 meV per atom

***

# 28
# SrLuZnPt

Crystalline SrLuZnPt at its relaxed geometry (PBE, Alexandria).

a b c (Å): 7.1749 7.1749 7.1749
angles (deg): 90.00 90.00 90.00
Space group F-43m (No. 216)
One atom of each set of equivalent atoms:
Sr1 0.0000 0.0000 0.0000 [4 per cell]
Lu1 0.0000 0.0000 0.5000 [4 per cell]
Zn1 0.2500 0.2500 0.2500 [4 per cell]
Pt1 0.2500 0.2500 0.7500 [4 per cell]

total magnetic moment = 0.00 μB/atom
uncorrected energy = -62.8 eV/cell
ΔE_f = -545.2 meV per atom

***

# 29
# TbLu2Pt

Crystalline TbLu2Pt at its relaxed geometry (PBE, Alexandria).

a b c (Å): 3.7755 3.7755 27.8674
angles (deg): 90.00 90.00 120.00
Space group R-3m (No. 166, hexagonal axes)
One atom of each set of equivalent atoms:
Tb1 0.0000 0.0000 0.0000 [3 per cell]
Lu1 0.0000 0.0000 0.2273 [6 per cell]
Pt1 0.0000 0.0000 0.5000 [3 per cell]

total magnetic moment = 0.00 μB/atom
uncorrected energy = -65.4 eV/cell
relative energy among the computed polymorphs = 0.119 eV per atom
ΔE_f = -524.0 meV per atom

***

# 30
# TbLuPt

Crystalline TbLuPt at its relaxed geometry (PBE, Alexandria).

a b c (Å): 4.5873 4.5873 4.1869
angles (deg): 90.00 90.00 120.00
Space group P3m1 (No. 156)
One atom of each set of equivalent atoms:
Tb1 0.0000 0.0000 0.0000 [1 per cell]
Lu1 0.6667 0.3333 0.5087 [1 per cell]
Pt1 0.3333 0.6667 0.3017 [1 per cell]

total magnetic moment = 0.00 μB/atom
uncorrected energy = -17.3 eV/cell
relative energy among the computed polymorphs = 0.201 eV per atom
ΔE_f = -700.7 meV per atom